A geometry-optimized RbMn2O structure, computed with GGA+U.

Cell: 6.760 6.760 6.766 Å, 60.03 60.03 90.00°
Fractional positions:
Rb1 0.750 0.250 0.500
Mn1 0.375 0.625 0.250
O1 0.500 0.500 0.000
Rb2 0.000 0.000 0.000
Mn2 0.375 0.625 0.750
Mn3 0.875 0.625 0.750
O2 0.250 0.750 0.500
Mn4 0.375 0.125 0.250

Calculated values
calculated total energy	-43.68	eV per cell
symmetry	I4_1/amd (141)
D(E_F)	4.75	states/eV per cell